i | Zr3ReF (GGA-PBE, optimized geometry); space group = No. 221; theoretical density = 8.84 Mg/m³; magnetic moment = 0.009 μB/f.u.
1.0
-2.812 -3.263 -1.236
-0.268 -1.381 4.255
-3.479 2.744 0.671
F Re Zr
1 1 3
direct
0.000 0.000 0.000
0.500 0.500 0.500
0.000 0.500 0.000
0.000 0.000 0.500
0.500 0.000 0.000

=====

ii | Zr3ReF (GGA-PBE, optimized geometry); space group = No. 221; theoretical density = 5.92 Mg/m³; magnetic moment = 0.000 μB/f.u.
1.0
5.122 0.000 0.000
0.000 5.122 0.000
0.000 0.000 5.122
Zr F Re
3 1 1
direct
0.000 0.000 0.500
0.000 0.500 0.000
0.500 0.000 0.000
0.500 0.500 0.500
0.000 0.000 0.000

=====

Among the structures above, stability is greatest for i.